Entry 1:
Entry from the Alexandria database: a geometry-optimized HfNb3Cd structure (PBE-GGA).

Values from the calculation:
VASP energy, eV/atom: -6.722
DFT formation energy, eV/atom: 1.4932
Energy relative to the lowest polymorph listed for this composition, eV/atom: 0.0000

```
data_HfNb3Cd
_cell_length_a 4.943
_cell_length_b 4.943
_cell_length_c 4.943
_cell_angle_alpha 90.00
_cell_angle_beta 90.00
_cell_angle_gamma 90.00
_symmetry_space_group_name_H-M 'P 1'
_symmetry_Int_Tables_number 1
_symmetry_space_group_name_Hall 'P 1'
loop_
_atom_site_label
_atom_site_type_symbol
_atom_site_fract_x
_atom_site_fract_y
_atom_site_fract_z
_atom_site_occupancy
Hf1 Hf 0.000 0.000 0.000 1
Nb1 Nb 0.000 0.000 0.500 1
Nb2 Nb 0.000 0.500 0.000 1
Nb3 Nb 0.500 0.000 0.000 1
Cd1 Cd 0.500 0.500 0.500 1
```



Entry 2:
Entry from the Alexandria database: a geometry-optimized Hf2NbCd structure (PBE-GGA).

Values from the calculation:
VASP energy, eV/atom: -7.627
DFT formation energy, eV/atom: 0.0960

```
data_Hf2NbCd
_cell_length_a 9.996
_cell_length_b 9.996
_cell_length_c 9.996
_cell_angle_alpha 18.31
_cell_angle_beta 18.31
_cell_angle_gamma 18.31
_symmetry_space_group_name_H-M 'P 1'
_symmetry_Int_Tables_number 1
_symmetry_space_group_name_Hall 'P 1'
loop_
_atom_site_label
_atom_site_type_symbol
_atom_site_fract_x
_atom_site_fract_y
_atom_site_fract_z
_atom_site_occupancy
Hf1 Hf 0.246 0.246 0.246 1
Hf2 Hf 0.754 0.754 0.754 1
Nb1 Nb 0.500 0.500 0.500 1
Cd1 Cd 0.000 0.000 0.000 1
```



Entry 3:
Entry from the Alexandria database: a geometry-optimized Hf2NbCd structure (PBE-GGA).

Values from the calculation:
VASP energy, eV/atom: -7.144
DFT formation energy, eV/atom: 0.5789

```
data_Hf2NbCd
_cell_length_a 10.583
_cell_length_b 10.583
_cell_length_c 10.583
_cell_angle_alpha 157.26
_cell_angle_beta 157.26
_cell_angle_gamma 32.38
_symmetry_space_group_name_H-M 'P 1'
_symmetry_Int_Tables_number 1
_symmetry_space_group_name_Hall 'P 1'
loop_
_atom_site_label
_atom_site_type_symbol
_atom_site_fract_x
_atom_site_fract_y
_atom_site_fract_z
_atom_site_occupancy
Hf1 Hf 0.116 0.625 0.991 1
Hf2 Hf 0.375 0.366 0.491 1
Hf3 Hf 0.634 0.125 0.009 1
Hf4 Hf 0.875 0.884 0.509 1
Nb1 Nb 0.000 0.000 0.000 1
Nb2 Nb 0.750 0.250 0.500 1
Cd1 Cd 0.250 0.750 0.500 1
Cd2 Cd 0.500 0.500 0.000 1
```



Entry 4:
Entry from the Alexandria database: a geometry-optimized Hf2NbCd structure (PBE-GGA).

Values from the calculation:
VASP energy, eV/atom: -7.599
DFT formation energy, eV/atom: 0.1242

```
data_Hf2NbCd
_cell_length_a 10.137
_cell_length_b 10.137
_cell_length_c 10.137
_cell_angle_alpha 17.89
_cell_angle_beta 17.89
_cell_angle_gamma 17.89
_symmetry_space_group_name_H-M 'P 1'
_symmetry_Int_Tables_number 1
_symmetry_space_group_name_Hall 'P 1'
loop_
_atom_site_label
_atom_site_type_symbol
_atom_site_fract_x
_atom_site_fract_y
_atom_site_fract_z
_atom_site_occupancy
Hf1 Hf 0.000 0.000 0.000 1
Hf2 Hf 0.175 0.175 0.175 1
Nb1 Nb 0.588 0.588 0.588 1
Cd1 Cd 0.421 0.421 0.421 1
```



Entry 5:
Entry from the Alexandria database: a geometry-optimized Hf2Nb2Cd3 structure (PBE-GGA).

Values from the calculation:
VASP energy, eV/atom: -6.000
DFT formation energy, eV/atom: 0.1127

```
data_Hf2Nb2Cd3
_cell_length_a 16.643
_cell_length_b 16.643
_cell_length_c 2.962
_cell_angle_alpha 90.00
_cell_angle_beta 90.00
_cell_angle_gamma 169.74
_symmetry_space_group_name_H-M 'P 1'
_symmetry_Int_Tables_number 1
_symmetry_space_group_name_Hall 'P 1'
loop_
_atom_site_label
_atom_site_type_symbol
_atom_site_fract_x
_atom_site_fract_y
_atom_site_fract_z
_atom_site_occupancy
Hf1 Hf 0.145 0.855 0.000 1
Hf2 Hf 0.855 0.145 0.000 1
Nb1 Nb 0.289 0.711 0.500 1
Nb2 Nb 0.711 0.289 0.500 1
Cd1 Cd 0.000 0.000 0.000 1
Cd2 Cd 0.428 0.572 0.500 1
Cd3 Cd 0.572 0.428 0.500 1
```



Entry 6:
Entry from the Alexandria database: a geometry-optimized HfNb2Cd structure (PBE-GGA).

Values from the calculation:
VASP energy, eV/atom: -7.645
DFT formation energy, eV/atom: 0.1070

```
data_HfNb2Cd
_cell_length_a 4.125
_cell_length_b 4.125
_cell_length_c 4.600
_cell_angle_alpha 90.00
_cell_angle_beta 90.00
_cell_angle_gamma 90.00
_symmetry_space_group_name_H-M 'P 1'
_symmetry_Int_Tables_number 1
_symmetry_space_group_name_Hall 'P 1'
loop_
_atom_site_label
_atom_site_type_symbol
_atom_site_fract_x
_atom_site_fract_y
_atom_site_fract_z
_atom_site_occupancy
Hf1 Hf 0.000 0.000 0.000 1
Nb1 Nb 0.000 0.500 0.500 1
Nb2 Nb 0.500 0.000 0.500 1
Cd1 Cd 0.500 0.500 0.000 1
```



Entry 7:
Entry from the Alexandria database: a geometry-optimized HfNbCd2 structure (PBE-GGA).

Values from the calculation:
VASP energy, eV/atom: -5.370
DFT formation energy, eV/atom: 0.0934
Energy relative to the lowest polymorph listed for this composition, eV/atom: 0.0000

```
data_HfNbCd2
_cell_length_a 4.256
_cell_length_b 4.256
_cell_length_c 4.437
_cell_angle_alpha 90.00
_cell_angle_beta 90.00
_cell_angle_gamma 90.00
_symmetry_space_group_name_H-M 'P 1'
_symmetry_Int_Tables_number 1
_symmetry_space_group_name_Hall 'P 1'
loop_
_atom_site_label
_atom_site_type_symbol
_atom_site_fract_x
_atom_site_fract_y
_atom_site_fract_z
_atom_site_occupancy
Hf1 Hf 0.000 0.000 0.000 1
Nb1 Nb 0.500 0.500 0.000 1
Cd1 Cd 0.000 0.500 0.500 1
Cd2 Cd 0.500 0.000 0.500 1
```



Entry 8:
Entry from the Alexandria database: a geometry-optimized Hf2NbCd structure (PBE-GGA).

Values from the calculation:
VASP energy, eV/atom: -7.746
DFT formation energy, eV/atom: -0.0231

```
data_Hf2NbCd
_cell_length_a 3.456
_cell_length_b 3.456
_cell_length_c 7.015
_cell_angle_alpha 90.00
_cell_angle_beta 90.00
_cell_angle_gamma 90.00
_symmetry_space_group_name_H-M 'P 1'
_symmetry_Int_Tables_number 1
_symmetry_space_group_name_Hall 'P 1'
loop_
_atom_site_label
_atom_site_type_symbol
_atom_site_fract_x
_atom_site_fract_y
_atom_site_fract_z
_atom_site_occupancy
Hf1 Hf 0.000 0.000 0.228 1
Hf2 Hf 0.000 0.000 0.772 1
Nb1 Nb 0.500 0.500 0.000 1
Cd1 Cd 0.500 0.500 0.500 1
```



Entry 9:
Entry from the Alexandria database: a geometry-optimized HfNbCd2 structure (PBE-GGA).

Values from the calculation:
VASP energy, eV/atom: -4.915
DFT formation energy, eV/atom: 0.5488
Energy relative to the lowest polymorph listed for this composition, eV/atom: 0.4554

```
data_HfNbCd2
_cell_length_a 6.247
_cell_length_b 6.247
_cell_length_c 6.247
_cell_angle_alpha 101.52
_cell_angle_beta 101.52
_cell_angle_gamma 126.92
_symmetry_space_group_name_H-M 'P 1'
_symmetry_Int_Tables_number 1
_symmetry_space_group_name_Hall 'P 1'
loop_
_atom_site_label
_atom_site_type_symbol
_atom_site_fract_x
_atom_site_fract_y
_atom_site_fract_z
_atom_site_occupancy
Hf1 Hf 0.000 0.000 0.000 1
Hf2 Hf 0.750 0.250 0.500 1
Nb1 Nb 0.250 0.750 0.500 1
Nb2 Nb 0.500 0.500 0.000 1
Cd1 Cd 0.133 0.625 0.008 1
Cd2 Cd 0.375 0.383 0.508 1
Cd3 Cd 0.617 0.125 0.992 1
Cd4 Cd 0.875 0.867 0.492 1
```



Entry 10:
Entry from the Alexandria database: a geometry-optimized HfNb2Cd structure (PBE-GGA).

Values from the calculation:
VASP energy, eV/atom: -7.081
DFT formation energy, eV/atom: 0.6708

```
data_HfNb2Cd
_cell_length_a 6.153
_cell_length_b 6.153
_cell_length_c 6.153
_cell_angle_alpha 102.19
_cell_angle_beta 102.19
_cell_angle_gamma 125.28
_symmetry_space_group_name_H-M 'P 1'
_symmetry_Int_Tables_number 1
_symmetry_space_group_name_Hall 'P 1'
loop_
_atom_site_label
_atom_site_type_symbol
_atom_site_fract_x
_atom_site_fract_y
_atom_site_fract_z
_atom_site_occupancy
Hf1 Hf 0.000 0.000 0.000 1
Hf2 Hf 0.750 0.250 0.500 1
Nb1 Nb 0.134 0.625 0.009 1
Nb2 Nb 0.375 0.384 0.509 1
Nb3 Nb 0.616 0.125 0.991 1
Nb4 Nb 0.875 0.866 0.491 1
Cd1 Cd 0.250 0.750 0.500 1
Cd2 Cd 0.500 0.500 0.000 1
```



Entry 11:
Entry from the Alexandria database: a geometry-optimized HfNbCd2 structure (PBE-GGA).

Values from the calculation:
VASP energy, eV/atom: -5.188
DFT formation energy, eV/atom: 0.2755
Energy relative to the lowest polymorph listed for this composition, eV/atom: 0.1821

```
data_HfNbCd2
_cell_length_a 4.859
_cell_length_b 4.859
_cell_length_c 4.859
_cell_angle_alpha 60.00
_cell_angle_beta 60.00
_cell_angle_gamma 60.00
_symmetry_space_group_name_H-M 'P 1'
_symmetry_Int_Tables_number 1
_symmetry_space_group_name_Hall 'P 1'
loop_
_atom_site_label
_atom_site_type_symbol
_atom_site_fract_x
_atom_site_fract_y
_atom_site_fract_z
_atom_site_occupancy
Hf1 Hf 0.000 0.000 0.000 1
Nb1 Nb 0.500 0.500 0.500 1
Cd1 Cd 0.250 0.250 0.250 1
Cd2 Cd 0.750 0.750 0.750 1
```



Entry 12:
Entry from the Alexandria database: a geometry-optimized HfNb3Cd structure (PBE-GGA).

Values from the calculation:
VASP energy, eV/atom: -6.429
DFT formation energy, eV/atom: 1.7868
Energy relative to the lowest polymorph listed for this composition, eV/atom: 0.2936

```
data_HfNb3Cd
_cell_length_a 4.979
_cell_length_b 4.979
_cell_length_c 4.979
_cell_angle_alpha 90.00
_cell_angle_beta 90.00
_cell_angle_gamma 90.00
_symmetry_space_group_name_H-M 'P 1'
_symmetry_Int_Tables_number 1
_symmetry_space_group_name_Hall 'P 1'
loop_
_atom_site_label
_atom_site_type_symbol
_atom_site_fract_x
_atom_site_fract_y
_atom_site_fract_z
_atom_site_occupancy
Hf1 Hf 0.000 0.000 0.000 1
Nb1 Nb 0.000 0.500 0.500 1
Nb2 Nb 0.500 0.000 0.500 1
Nb3 Nb 0.500 0.500 0.000 1
Cd1 Cd 0.500 0.500 0.500 1
```



What is the DFT formation energy in the seventh record?
0.0934 eV/atom